## BaCoSeO (GGA+U)

Data for a relaxed structure of BaCoSeO.

The structure belongs to space group Cmcm (No. 63); the cell edges are 4.124, 13.177 and 6.207 Å and the angles 90.00°, 90.00° and 90.00°. The asymmetric unit holds Ba at (0.000, 0.108, 0.250), Co at (0.000, 0.409, 0.250), Se at (0.000, 0.195, 0.750) and O at (0.000, 0.500, 0.000).

Its total energy is -5.358 eV per atom.